Entry from OQMD: a relaxed GdPt4Au crystal (GGA-PBE).

Unit cell a=5.351 b=5.351 c=5.351 alpha=60.00 beta=60.00 gamma=60.00
Sites, in units of the cell vectors:
Gd  0.000  0.000  0.000
Pt  0.126  0.625  0.625
Pt  0.625  0.126  0.625
Pt  0.625  0.625  0.126
Pt  0.625  0.625  0.625
Au  0.250  0.250  0.250

## Properties
The calculation puts the uncorrected energy at -6.0868 eV/atom. The volume comes out at 18.06 Å³/atom. The energy of formation is -0.729 eV per atom. The calculation puts the energy above the most stable polymorph in this dataset at 0.0000 eV/atom.

Entry from OQMD: a relaxed TbGd2Tl3PtAu2 crystal (GGA-PBE).

Unit cell a=3.949 b=7.842 c=7.842 alpha=119.98 beta=90.00 gamma=90.00
Sites, in units of the cell vectors:
Tb  0.000  0.000  0.000
Gd  0.000  0.399  0.798
Gd  0.000  0.798  0.399
Tl  0.500  0.138  0.399
Tl  0.500  0.399  0.138
Tl  0.500  0.659  0.659
Pt  0.000  0.398  0.398
Au  0.500  0.065  0.733
Au  0.500  0.733  0.065

## Properties
The calculation puts the uncorrected energy at -4.3826 eV/atom. The volume comes out at 23.37 Å³/atom.

Entry from OQMD: a relaxed Tb2GdZn3Pt2Au crystal (GGA-PBE).

Unit cell a=3.871 b=7.390 c=7.390 alpha=120.04 beta=90.00 gamma=90.00
Sites, in units of the cell vectors:
Tb  0.000  0.205  0.795
Tb  0.000  0.795  0.205
Gd  0.000  0.385  0.385
Zn  0.500  0.053  0.053
Zn  0.500  0.537  0.795
Zn  0.500  0.795  0.537
Pt  0.500  0.127  0.462
Pt  0.500  0.462  0.127
Au  0.000  0.796  0.796

## Properties
The calculation puts the uncorrected energy at -4.5543 eV/atom. The volume comes out at 20.33 Å³/atom. The energy of formation is -0.878 eV per atom.

Entry from OQMD: a relaxed Gd2TmTl3PtAu2 crystal (GGA-PBE).

Unit cell a=3.928 b=7.820 c=7.820 alpha=119.91 beta=90.00 gamma=90.00
Sites, in units of the cell vectors:
Gd  0.000  0.199  0.801
Gd  0.000  0.801  0.199
Tm  0.000  0.403  0.403
Tl  0.500  0.061  0.061
Tl  0.500  0.538  0.801
Tl  0.500  0.801  0.538
Pt  0.000  0.796  0.796
Au  0.500  0.138  0.465
Au  0.500  0.465  0.138

## Properties
The calculation puts the uncorrected energy at -4.3557 eV/atom. The volume comes out at 23.13 Å³/atom.

Entry from OQMD: a relaxed Gd2YTl3PtAu2 crystal (GGA-PBE).

Unit cell a=3.952 b=7.842 c=7.842 alpha=119.94 beta=90.00 gamma=90.00
Sites, in units of the cell vectors:
Gd  0.000  0.200  0.800
Gd  0.000  0.800  0.200
Y  0.000  0.600  0.600
Tl  0.500  0.201  0.461
Tl  0.500  0.461  0.201
Tl  0.500  0.939  0.939
Pt  0.000  0.201  0.201
Au  0.500  0.534  0.866
Au  0.500  0.866  0.534

## Properties
The calculation puts the uncorrected energy at -4.5887 eV/atom. The volume comes out at 23.40 Å³/atom.

Entry from OQMD: a relaxed GdY2Tl3PtAu2 crystal (GGA-PBE).

Unit cell a=3.929 b=7.837 c=7.837 alpha=120.02 beta=90.00 gamma=90.00
Sites, in units of the cell vectors:
Gd  0.000  0.000  0.000
Y  0.000  0.399  0.797
Y  0.000  0.797  0.399
Tl  0.500  0.137  0.399
Tl  0.500  0.399  0.137
Tl  0.500  0.660  0.660
Pt  0.000  0.399  0.399
Au  0.500  0.066  0.732
Au  0.500  0.732  0.066

## Properties
The calculation puts the uncorrected energy at -4.7904 eV/atom. The volume comes out at 23.22 Å³/atom.

Entry from OQMD: a relaxed GdPuAu crystal (GGA-PBE).

Unit cell a=4.810 b=4.810 c=4.810 alpha=60.00 beta=60.00 gamma=60.00
Sites, in units of the cell vectors:
Gd  0.000  0.000  0.000
Pu  0.250  0.250  0.250
Au  0.500  0.500  0.500

## Properties
The calculation puts the uncorrected energy at -7.2406 eV/atom. The volume comes out at 26.22 Å³/atom. The energy of formation is 0.109 eV per atom.

Entry from OQMD: a relaxed Rb2Gd4Au4S9 crystal (GGA-PBE).

Unit cell a=7.453 b=7.453 c=16.599 alpha=107.21 beta=107.21 gamma=32.18
Sites, in units of the cell vectors:
Rb  0.042  0.042  0.277
Rb  0.958  0.958  0.723
Gd  0.244  0.244  0.115
Gd  0.349  0.349  0.443
Gd  0.651  0.651  0.557
Gd  0.756  0.756  0.885
Au  0.239  0.239  0.725
Au  0.450  0.450  0.083
Au  0.550  0.550  0.917
Au  0.761  0.761  0.275
S  0.000  0.000  0.500
S  0.149  0.149  0.937
S  0.287  0.287  0.591
S  0.367  0.367  0.282
S  0.372  0.372  0.866
S  0.628  0.628  0.134
S  0.633  0.633  0.718
S  0.713  0.713  0.409
S  0.851  0.851  0.063

## Properties
The calculation puts the uncorrected energy at -5.0035 eV/atom. The volume comes out at 24.59 Å³/atom.